No. 1
## CdSbW2 (PBE)

Data for crystalline CdSbW2 at its relaxed geometry.

Cell: 4.1888 4.1888 8.3444 Å, 90.00 90.00 90.00°
Space group I-4m2 (No. 119)
Inequivalent atoms, fractional coordinates:
Cd 0.0000 0.0000 0.0000
Sb 0.0000 0.5000 0.7500
W 0.0000 0.0000 0.5000
W 0.0000 0.5000 0.2500

As for the density of states at the Fermi level: 0.741 states/eV/atom. The energy above the lowest structure with this stoichiometry comes out at 404 meV/atom. Its crystal system is tetragonal. As for the calculated density: 13.65 g cm⁻³. For the energy, the calculation gives -6.927 eV/atom.

=====

No. 2
## CdSbW2 (PBE)

Data for crystalline CdSbW2 at its relaxed geometry.

Cell: 3.9975 3.9975 20.2630 Å, 90.00 90.00 90.00°
Space group I-42d (No. 122)
Inequivalent atoms, fractional coordinates:
Cd 0.0000 0.0000 0.0000
Sb 0.0000 0.0000 0.5000
W 0.2132 0.2500 0.1250

As for the density of states at the Fermi level: 0.375 states/eV/atom. The energy above the lowest structure with this stoichiometry comes out at 528 meV/atom. Its crystal system is tetragonal. As for the calculated density: 12.35 g cm⁻³. For the energy, the calculation gives -6.803 eV/atom.

=====

No. 3
## CdSbW2 (PBE)

Data for crystalline CdSbW2 at its relaxed geometry.

Cell: 3.2437 3.2437 8.0892 Å, 90.00 90.00 90.00°
Space group P4mm (No. 99)
Inequivalent atoms, fractional coordinates:
Cd 0.0000 0.0000 0.0000
Sb 0.5000 0.5000 0.3621
W 0.0000 0.0000 0.5959
W 0.5000 0.5000 0.7588

As for the density of states at the Fermi level: 0.528 states/eV/atom. The energy above the lowest structure with this stoichiometry comes out at 15 meV/atom. Its crystal system is tetragonal. As for the calculated density: 11.74 g cm⁻³. For the energy, the calculation gives -7.316 eV/atom.

=====

Q: Which value of calculated density does entry 1 give?
A: 13.65 g cm⁻³

=====

Q: Which formula does entry 3 have?
A: CdSbW2

=====

What did the third record say?
## CdSbW2 (PBE)

Data for crystalline CdSbW2 at its relaxed geometry.

Cell: 3.2437 3.2437 8.0892 Å, 90.00 90.00 90.00°
Space group P4mm (No. 99)
Inequivalent atoms, fractional coordinates:
Cd 0.0000 0.0000 0.0000
Sb 0.5000 0.5000 0.3621
W 0.0000 0.0000 0.5959
W 0.5000 0.5000 0.7588

As for the density of states at the Fermi level: 0.528 states/eV/atom. The energy above the lowest structure with this stoichiometry comes out at 15 meV/atom. Its crystal system is tetragonal. As for the calculated density: 11.74 g cm⁻³. For the energy, the calculation gives -7.316 eV/atom.

=====

Q: Look up the energy of the third one.
A: -7.316 eV/atom